# PBE+U VOF, relaxed
# Raw total energy: -7.179 eV per atom
# Size of the total moment: 2.0 μB per formula unit
# Volume: 129 Å³/cell
data_VOF
_cell_length_a 5.179
_cell_length_b 4.983
_cell_length_c 5.120
_cell_angle_alpha 90.00
_cell_angle_beta 101.62
_cell_angle_gamma 90.00
_space_group_name_H-M_alt 'P 1'
_space_group_IT_number 1
loop_
_space_group_symop_operation_xyz
'x,y,z'
loop_
_atom_site_label
_atom_site_fract_x
_atom_site_fract_y
_atom_site_fract_z
_atom_site_occupancy
V1 0.197 0.029 0.294 1
V2 0.197 0.471 0.794 1
V3 0.803 0.529 0.206 1
V4 0.803 0.971 0.706 1
O1 0.040 0.747 0.509 1
O2 0.040 0.753 0.009 1
O3 0.960 0.247 0.991 1
O4 0.960 0.253 0.491 1
F1 0.451 0.200 0.635 1
F2 0.451 0.300 0.135 1
F3 0.549 0.700 0.865 1
F4 0.549 0.800 0.365 1